No. 1
# Np2Mn2P2C, optimized geometry, DFT PBE
# - formation enthalpy at 0 K (eV/atom) = -0.45
# - theoretical density (kg/m3) = 10572
# - crystal system = tetragonal
# - final energy (eV for the cell shown) = -134.9
# - total moment (μB per atom) = 1.417
data_Np2Mn2P2C
_chemical_formula_sum 'Np4 Mn4 P4 C2'
_cell_length_a 3.842
_cell_length_b 3.842
_cell_length_c 14.002
_cell_angle_alpha 90.00
_cell_angle_beta 90.00
_cell_angle_gamma 90.00
_symmetry_space_group_name_H-M 'I 4/m m m'
_symmetry_Int_Tables_number 139
_symmetry_space_group_name_Hall '-I 4 2'
loop_
_atom_site_label
_atom_site_fract_x
_atom_site_fract_y
_atom_site_fract_z
_atom_site_occupancy
Np1 0.000 0.000 0.174 1
Mn1 0.000 0.500 0.000 1
P1 0.000 0.000 0.386 1
C1 0.000 0.000 0.000 1


No. 2
# ThZn7Ni5, optimized geometry, DFT PBE
# - formation enthalpy at 0 K (eV/atom) = -0.28
# - theoretical density (kg/m3) = 8775
# - crystal system = orthorhombic
# - final energy (eV for the cell shown) = -97.6
# - total moment (μB per atom) = 0.000
data_ThZn7Ni5
_chemical_formula_sum 'Th2 Zn14 Ni10'
_cell_length_a 5.022
_cell_length_b 8.625
_cell_length_c 8.592
_cell_angle_alpha 90.00
_cell_angle_beta 90.00
_cell_angle_gamma 90.00
_symmetry_space_group_name_H-M 'I m m 2'
_symmetry_Int_Tables_number 44
loop_
_symmetry_equiv_pos_as_xyz
'x,y,z'
'-x,-y,z'
'-x,y,z'
'x,-y,z'
'x+1/2,y+1/2,z+1/2'
'-x+1/2,-y+1/2,z+1/2'
'-x+1/2,y+1/2,z+1/2'
'x+1/2,-y+1/2,z+1/2'
loop_
_atom_site_label
_atom_site_fract_x
_atom_site_fract_y
_atom_site_fract_z
_atom_site_occupancy
Th1 0.000 0.000 0.000 1
Zn1 0.000 0.000 0.358 1
Zn2 0.000 0.000 0.662 1
Zn3 0.000 0.281 0.526 1
Zn4 0.000 0.351 0.041 1
Zn5 0.000 0.500 0.756 1
Ni1 0.000 0.500 0.310 1
Ni2 0.248 0.249 0.779 1


No. 3
# CrFe2Se, optimized geometry, DFT PBE
# - theoretical density (kg/m3) = 7408
# - crystal system = monoclinic
# - final energy (eV for the cell shown) = -29.3
# - total moment (μB per atom) = 1.562
data_CrFe2Se
_chemical_formula_sum 'Cr1 Fe2 Se1'
_cell_length_a 3.043
_cell_length_b 3.127
_cell_length_c 5.913
_cell_angle_alpha 90.00
_cell_angle_beta 104.83
_cell_angle_gamma 90.00
_symmetry_space_group_name_H-M 'P 1 m 1'
_symmetry_Int_Tables_number 6
loop_
_symmetry_equiv_pos_as_xyz
'x,y,z'
'x,-y,z'
loop_
_atom_site_label
_atom_site_fract_x
_atom_site_fract_y
_atom_site_fract_z
_atom_site_occupancy
Cr1 0.000 0.000 0.000 1
Fe1 0.236 0.000 0.476 1
Fe2 0.630 0.500 0.261 1
Se1 0.403 0.500 0.805 1


No. 4
# NpIn2PdO8, optimized geometry, DFT PBE
# - theoretical density (kg/m3) = 7273
# - crystal system = monoclinic
# - final energy (eV for the cell shown) = -82.3
# - total moment (μB per atom) = 0.084
data_NpIn2PdO8
_chemical_formula_sum 'Np1 In2 Pd1 O8'
_cell_length_a 4.957
_cell_length_b 6.468
_cell_length_c 4.997
_cell_angle_alpha 90.00
_cell_angle_beta 92.46
_cell_angle_gamma 90.00
_symmetry_space_group_name_H-M 'P 1 2/m 1'
_symmetry_Int_Tables_number 10
loop_
_symmetry_equiv_pos_as_xyz
'x,y,z'
'-x,-y,-z'
'-x,y,-z'
'x,-y,z'
loop_
_atom_site_label
_atom_site_fract_x
_atom_site_fract_y
_atom_site_fract_z
_atom_site_occupancy
Np1 0.000 0.000 0.000 1
In1 0.500 0.259 0.500 1
Pd1 0.000 0.500 0.000 1
O1 0.189 0.251 0.825 1
O2 0.285 0.500 0.305 1
O3 0.296 0.000 0.307 1


No. 5
# GdPuGaRh, optimized geometry, DFT PBE
# - formation enthalpy at 0 K (eV/atom) = -0.44
# - theoretical density (kg/m3) = 10879
# - crystal system = cubic
# - final energy (eV for the cell shown) = -162.1
# - total moment (μB per atom) = 3.074
data_GdPuGaRh
_chemical_formula_sum 'Gd4 Pu4 Ga4 Rh4'
_cell_length_a 7.050
_cell_length_b 7.050
_cell_length_c 7.050
_cell_angle_alpha 90.00
_cell_angle_beta 90.00
_cell_angle_gamma 90.00
_symmetry_space_group_name_H-M 'F -4 3 m'
_symmetry_Int_Tables_number 216
_symmetry_space_group_name_Hall 'F -4 2 3'
loop_
_atom_site_label
_atom_site_fract_x
_atom_site_fract_y
_atom_site_fract_z
_atom_site_occupancy
Gd1 0.000 0.000 0.000 1
Pu1 0.000 0.000 0.500 1
Ga1 0.250 0.250 0.750 1
Rh1 0.250 0.250 0.250 1


No. 6
# Ti2IrAu, optimized geometry, DFT PBE
# - formation enthalpy at 0 K (eV/atom) = -0.18
# - theoretical density (kg/m3) = 11478
# - crystal system = tetragonal
# - final energy (eV for the cell shown) = -114.5
# - total moment (μB per atom) = 0.000
data_Ti2IrAu
_chemical_formula_sum 'Ti8 Ir4 Au4'
_cell_length_a 7.143
_cell_length_b 7.143
_cell_length_c 5.500
_cell_angle_alpha 90.00
_cell_angle_beta 90.00
_cell_angle_gamma 90.00
_symmetry_space_group_name_H-M 'I -4 2 d'
_symmetry_Int_Tables_number 122
_symmetry_space_group_name_Hall 'I -4 2bw'
loop_
_atom_site_label
_atom_site_fract_x
_atom_site_fract_y
_atom_site_fract_z
_atom_site_occupancy
Ti1 0.222 0.250 0.125 1
Ir1 0.000 0.000 0.000 1
Au1 0.000 0.000 0.500 1